# 1
Below is crystalline K2In9Ir3 at its relaxed geometry, with properties calculated at the PBE level.

Computed properties:
Size of the total moment in μB per formula unit: 0.0
Formation enthalpy at 0 K in kJ per mole of atoms: -12.17

Lattice parameters (Å, degrees): 14.333 8.229 11.866 90.00 113.72 90.00
Space group C2/c (No. 15)
Asymmetric unit:
K1 0.168 0.083 0.250 [8 per cell]
In1 0.000 0.358 0.250 [4 per cell]
In2 0.061 0.081 0.932 [8 per cell]
In3 0.103 0.416 0.057 [8 per cell]
In4 0.111 0.307 0.749 [8 per cell]
In5 0.228 0.416 0.433 [8 per cell]
Ir1 0.085 0.245 0.500 [8 per cell]
Ir2 0.250 0.250 0.000 [4 per cell]


# 2
Below is crystalline PuCd12Ag6 at its relaxed geometry, with properties calculated at the PBE level.

Computed properties:
Size of the total moment in μB per formula unit: 6.2
Formation enthalpy at 0 K in kJ per mole of atoms: 3.54

Lattice parameters (Å, degrees): 12.6190 12.6190 9.4325 90.00 90.00 120.00
Space group R-3m (No. 166, hexagonal axes)
Asymmetric unit:
Pu1 0.0000 0.0000 0.0000 [3 per cell]
Cd1 0.0000 0.3868 0.5000 [18 per cell]
Cd2 0.0832 0.1663 0.2941 [18 per cell]
Ag1 0.0599 0.5300 0.2369 [18 per cell]


# 3
Below is crystalline AlRe2Te at its relaxed geometry, with properties calculated at the PBE level.

Computed properties:
E above lowest polymorph in meV/atom: 482.4
Size of the total moment in μB per formula unit: 0.0
Energy relative to the elements, uncorrected in eV/f.u.: 2.88

Lattice parameters (Å, degrees): 4.115 4.115 18.071 90.00 90.00 90.00
Space group I-42d (No. 122)
Asymmetric unit:
Al1 0.000 0.000 0.000 [4 per cell]
Re1 0.177 0.250 0.125 [8 per cell]
Te1 0.000 0.000 0.500 [4 per cell]


# 4
Below is crystalline GaCu7Au2 at its relaxed geometry, with properties calculated at the PBE level.

Computed properties:
Size of the total moment in μB per formula unit: 0.0
Formation enthalpy at 0 K in kJ per mole of atoms: 26.48

Lattice parameters (Å, degrees): 6.826 13.892 3.525 90.00 90.00 90.00
Space group Cmmm (No. 65)
Asymmetric unit:
Ga1 0.000 0.000 0.000 [2 per cell]
Cu1 0.000 0.180 0.000 [4 per cell]
Cu2 0.000 0.500 0.500 [2 per cell]
Cu3 0.187 0.093 0.500 [8 per cell]
Au1 0.000 0.310 0.500 [4 per cell]


# 5
Below is crystalline Ti11Cu9Ni4 at its relaxed geometry, with properties calculated at the PBE level.

Computed properties:
Size of the total moment in μB per formula unit: 4.4
Formation enthalpy at 0 K in kJ per mole of atoms: -17.03

Lattice parameters (Å, degrees): 12.283 18.775 2.942 90.00 90.00 90.00
Space group Cmmm (No. 65)
Asymmetric unit:
Ti1 0.000 0.000 0.000 [2 per cell]
Ti2 0.000 0.165 0.000 [4 per cell]
Ti3 0.000 0.367 0.000 [4 per cell]
Ti4 0.208 0.500 0.000 [4 per cell]
Ti5 0.232 0.174 0.000 [8 per cell]
Cu1 0.000 0.500 0.500 [2 per cell]
Cu2 0.105 0.266 0.500 [8 per cell]
Cu3 0.141 0.071 0.500 [8 per cell]
Ni1 0.153 0.400 0.500 [8 per cell]


# 6
Below is crystalline SrTbCuPd at its relaxed geometry, with properties calculated at the PBE level.

Computed properties:
Size of the total moment in μB per formula unit: 0.0
Formation enthalpy at 0 K in kJ per mole of atoms: -31.82

Lattice parameters (Å, degrees): 7.227 7.227 7.227 90.00 90.00 90.00
Space group F-43m (No. 216)
Asymmetric unit:
Sr1 0.000 0.000 0.000 [4 per cell]
Tb1 0.000 0.000 0.500 [4 per cell]
Cu1 0.250 0.250 0.750 [4 per cell]
Pd1 0.250 0.250 0.250 [4 per cell]


# 7
Below is crystalline CsPbNO2 at its relaxed geometry, with properties calculated at the PBE level.

Computed properties:
Size of the total moment in μB per formula unit: 2.1
Energy relative to the elements, uncorrected in eV/f.u.: 0.34

Lattice parameters (Å, degrees): 4.435 4.435 4.511 90.00 90.00 90.00
Space group P4/mmm (No. 123)
Asymmetric unit:
Cs1 0.000 0.000 0.000 [1 per cell]
Pb1 0.500 0.500 0.500 [1 per cell]
N1 0.500 0.500 0.000 [1 per cell]
O1 0.000 0.500 0.500 [2 per cell]


# 8
Below is crystalline Nd2Ho3Ge4 at its relaxed geometry, with properties calculated at the PBE level.

Computed properties:
Size of the total moment in μB per formula unit: 0.0
Formation enthalpy at 0 K in kJ per mole of atoms: -84.55

Lattice parameters (Å, degrees): 7.944 7.880 7.657 90.00 110.91 90.00
Space group P2_1/c (No. 14)
Asymmetric unit:
Nd1 0.196 0.180 0.067 [4 per cell]
Ho1 0.242 0.665 0.238 [4 per cell]
Ho2 0.500 0.000 0.500 [2 per cell]
Ge1 0.086 0.540 0.838 [4 per cell]
Ge2 0.493 0.131 0.869 [4 per cell]


# 9
Below is crystalline U2RhC2 at its relaxed geometry, with properties calculated at the PBE level.

Computed properties:
Size of the total moment in μB per formula unit: 2.1
Formation enthalpy at 0 K in kJ per mole of atoms: -29.38

Lattice parameters (Å, degrees): 3.462 3.462 12.550 90.00 90.00 90.00
Space group I4/mmm (No. 139)
Asymmetric unit:
U1 0.000 0.000 0.146 [4 per cell]
Rh1 0.000 0.000 0.500 [2 per cell]
C1 0.000 0.000 0.329 [4 per cell]


# 10
Below is crystalline Ac4Pr6Nd at its relaxed geometry, with properties calculated at the PBE level.

Computed properties:
Size of the total moment in μB per formula unit: 0.0
Formation enthalpy at 0 K in kJ per mole of atoms: 23.18

Lattice parameters (Å, degrees): 7.259 7.259 16.867 90.00 90.00 90.00
Space group I-42m (No. 121)
Asymmetric unit:
Ac1 0.193 0.193 0.320 [8 per cell]
Pr1 0.000 0.500 0.000 [4 per cell]
Pr2 0.168 0.168 0.103 [8 per cell]
Nd1 0.000 0.000 0.500 [2 per cell]


# 11
Below is crystalline Zr2Pd7Pt2 at its relaxed geometry, with properties calculated at the PBE level.

Computed properties:
Size of the total moment in μB per formula unit: 0.0
Formation enthalpy at 0 K in kJ per mole of atoms: -45.02

Lattice parameters (Å, degrees): 7.702 8.354 6.178 90.00 108.10 90.00
Space group C2/m (No. 12)
Asymmetric unit:
Zr1 0.223 0.000 0.488 [4 per cell]
Pd1 0.000 0.000 0.000 [2 per cell]
Pd2 0.097 0.500 0.824 [4 per cell]
Pd3 0.174 0.276 0.168 [8 per cell]
Pt1 0.000 0.252 0.500 [4 per cell]


# 12
Below is crystalline CsKClF at its relaxed geometry, with properties calculated at the PBE level.

Computed properties:
E above lowest polymorph in meV/atom: 134.7
Size of the total moment in μB per formula unit: 0.1
Energy relative to the elements, uncorrected in eV/f.u.: -8.55

Lattice parameters (Å, degrees): 7.668 7.668 7.668 90.00 90.00 90.00
Space group F-43m (No. 216)
Asymmetric unit:
Cs1 0.000 0.000 0.000 [4 per cell]
K1 0.000 0.000 0.500 [4 per cell]
Cl1 0.250 0.250 0.750 [4 per cell]
F1 0.250 0.250 0.250 [4 per cell]